#P
First-principles (PBE-GGA) data for a relaxed structure of Pu2ThZn, as listed in Alexandria. Values from VASP.

Properties
Magnetization: 11.43 μB per formula unit
V: 102.14 Å³ per cell

Quantum ESPRESSO input file:
```
&SYSTEM
  ibrav = 0, nat = 4, ntyp = 3
/
ATOMIC_SPECIES
Pu 244.00 Pu.upf
Th 232.04 Th.upf
Zn 65.41 Zn.upf
ATOMIC_POSITIONS crystal
Pu 0.0000 0.0000 0.2151
Pu 0.0000 0.0000 0.7849
Th 0.5000 0.5000 0.5000
Zn 0.5000 0.5000 0.0000
CELL_PARAMETERS angstrom
3.6134 0.0000 0.0000
0.0000 3.6134 0.0000
0.0000 0.0000 7.8233
```



#Q
First-principles (PBE-GGA) data for a relaxed structure of Pu2ThZn, as listed in Alexandria. Values from VASP.

Properties
Magnetization: 13.39 μB per formula unit
V: 99.31 Å³ per cell

Quantum ESPRESSO input file:
```
&SYSTEM
  ibrav = 0, nat = 4, ntyp = 3
/
ATOMIC_SPECIES
Pu 244.00 Pu.upf
Th 232.04 Th.upf
Zn 65.41 Zn.upf
ATOMIC_POSITIONS crystal
Pu 0.2500 0.2500 0.2500
Pu 0.7500 0.7500 0.7500
Th 0.0000 0.0000 0.0000
Zn 0.5000 0.5000 0.5000
CELL_PARAMETERS angstrom
0.0000 3.6756 3.6756
3.6756 0.0000 3.6756
3.6756 3.6756 0.0000
```



#R
First-principles (PBE-GGA) data for a relaxed structure of Pu2ThZn, as listed in Alexandria. Values from VASP.

Properties
Magnetization: 11.66 μB per formula unit
V: 100.41 Å³ per cell

Quantum ESPRESSO input file:
```
&SYSTEM
  ibrav = 0, nat = 4, ntyp = 3
/
ATOMIC_SPECIES
Pu 244.00 Pu.upf
Th 232.04 Th.upf
Zn 65.41 Zn.upf
ATOMIC_POSITIONS crystal
Pu 0.0000 0.5000 0.0000
Pu 0.5000 0.0000 0.0000
Th 0.0000 0.0000 0.5000
Zn 0.5000 0.5000 0.5000
CELL_PARAMETERS angstrom
4.4708 0.0000 0.0000
0.0000 4.4708 0.0000
0.0000 0.0000 5.0234
```



Stability summary - winner: #R; margin: 3.5 kJ/mol of atoms.



#P
First-principles (PBE-GGA) data for a relaxed structure of PuThZn2, as listed in Alexandria. Values from VASP.

Properties
Magnetization: 6.53 μB per formula unit
V: 95.11 Å³ per cell

Quantum ESPRESSO input file:
```
&SYSTEM
  ibrav = 0, nat = 4, ntyp = 3
/
ATOMIC_SPECIES
Pu 244.00 Pu.upf
Th 232.04 Th.upf
Zn 65.41 Zn.upf
ATOMIC_POSITIONS crystal
Pu 0.0000 0.0000 0.0000
Th 0.5000 0.5000 0.5000
Zn 0.2500 0.2500 0.2500
Zn 0.7500 0.7500 0.7500
CELL_PARAMETERS angstrom
0.0000 3.6230 3.6230
3.6230 0.0000 3.6230
3.6230 3.6230 0.0000
```



#Q
First-principles (PBE-GGA) data for a relaxed structure of PuThZn2, as listed in Alexandria. Values from VASP.

Properties
Magnetization: 6.31 μB per formula unit
V: 95.14 Å³ per cell

Quantum ESPRESSO input file:
```
&SYSTEM
  ibrav = 0, nat = 4, ntyp = 3
/
ATOMIC_SPECIES
Pu 244.00 Pu.upf
Th 232.04 Th.upf
Zn 65.41 Zn.upf
ATOMIC_POSITIONS crystal
Pu 0.0000 0.0000 0.0000
Th 0.5000 0.5000 0.0000
Zn 0.0000 0.5000 0.5000
Zn 0.5000 0.0000 0.5000
CELL_PARAMETERS angstrom
5.0657 0.0000 0.0000
0.0000 5.0657 0.0000
0.0000 0.0000 3.7076
```



Stability summary - winner: #Q; margin: 0.6 kJ/mol of atoms.



#P
First-principles (PBE-GGA) data for a relaxed structure of PuThZn4, as listed in Alexandria. Values from VASP.

Properties
Magnetization: 5.73 μB per formula unit
V: 118.39 Å³ per cell

Quantum ESPRESSO input file:
```
&SYSTEM
  ibrav = 0, nat = 6, ntyp = 3
/
ATOMIC_SPECIES
Pu 244.00 Pu.upf
Th 232.04 Th.upf
Zn 65.41 Zn.upf
ATOMIC_POSITIONS crystal
Pu 0.0000 0.0000 0.0000
Th 0.7500 0.7500 0.7500
Zn 0.3745 0.3745 0.3745
Zn 0.3745 0.3745 0.8766
Zn 0.3745 0.8766 0.3745
Zn 0.8766 0.3745 0.3745
CELL_PARAMETERS angstrom
0.0000 3.8972 3.8972
3.8972 0.0000 3.8972
3.8972 3.8972 0.0000
```



#Q
First-principles (PBE-GGA) data for a relaxed structure of PuThZn4, as listed in Alexandria. Values from VASP.

Properties
Magnetization: 6.78 μB per formula unit
V: 132.14 Å³ per cell

Quantum ESPRESSO input file:
```
&SYSTEM
  ibrav = 0, nat = 6, ntyp = 3
/
ATOMIC_SPECIES
Pu 244.00 Pu.upf
Th 232.04 Th.upf
Zn 65.41 Zn.upf
ATOMIC_POSITIONS crystal
Pu 0.0000 0.0000 0.0000
Th 0.7500 0.2500 0.5000
Zn 0.1674 0.6674 0.5000
Zn 0.3326 0.8326 0.5000
Zn 0.4186 0.4186 0.0000
Zn 0.5814 0.5814 0.0000
CELL_PARAMETERS angstrom
-2.0746 2.0746 7.6752
2.0746 -2.0746 7.6752
2.0746 2.0746 -7.6752
```



Stability summary - winner: #P; margin: 8.4 kJ/mol of atoms.



#P
First-principles (PBE-GGA) data for a relaxed structure of PuThZr, as listed in Alexandria. Values from VASP.

Properties
Magnetization: 5.42 μB per formula unit
V: 80.86 Å³ per cell

Quantum ESPRESSO input file:
```
&SYSTEM
  ibrav = 0, nat = 3, ntyp = 3
/
ATOMIC_SPECIES
Pu 244.00 Pu.upf
Th 232.04 Th.upf
Zr 91.22 Zr.upf
ATOMIC_POSITIONS crystal
Pu 0.0000 0.0000 0.0000
Th 0.3333 0.6667 0.6602
Zr 0.6667 0.3333 0.3245
CELL_PARAMETERS angstrom
3.3976 0.0000 0.0000
-1.6988 2.9424 0.0000
0.0000 0.0000 8.0878
```



#Q
First-principles (PBE-GGA) data for a relaxed structure of PuThZr, as listed in Alexandria. Values from VASP.

Properties
Magnetization: 5.43 μB per formula unit
V: 162.13 Å³ per cell

Quantum ESPRESSO input file:
```
&SYSTEM
  ibrav = 0, nat = 6, ntyp = 3
/
ATOMIC_SPECIES
Pu 244.00 Pu.upf
Th 232.04 Th.upf
Zr 91.22 Zr.upf
ATOMIC_POSITIONS crystal
Pu 0.0877 0.0877 0.0877
Pu 0.9123 0.9123 0.9123
Th 0.3634 0.3634 0.3634
Th 0.6366 0.6366 0.6366
Zr 0.1923 0.1923 0.1923
Zr 0.8077 0.8077 0.8077
CELL_PARAMETERS angstrom
1.7034 0.9835 16.1305
-1.7034 0.9835 16.1305
0.0000 -1.9669 16.1305
```



Stability summary - winner: #Q; margin: 0.5 kJ/mol of atoms.



#P
First-principles (PBE-GGA) data for a relaxed structure of Pu2ThZr, as listed in Alexandria. Values from VASP.

Properties
Magnetization: 10.65 μB per formula unit
V: 104.79 Å³ per cell

Quantum ESPRESSO input file:
```
&SYSTEM
  ibrav = 0, nat = 4, ntyp = 3
/
ATOMIC_SPECIES
Pu 244.00 Pu.upf
Th 232.04 Th.upf
Zr 91.22 Zr.upf
ATOMIC_POSITIONS crystal
Pu 0.0000 0.0000 0.2393
Pu 0.0000 0.0000 0.7607
Th 0.5000 0.5000 0.5000
Zr 0.5000 0.5000 0.0000
CELL_PARAMETERS angstrom
3.3477 0.0000 0.0000
0.0000 3.3477 0.0000
0.0000 0.0000 9.3503
```



#Q
First-principles (PBE-GGA) data for a relaxed structure of Pu2ThZr, as listed in Alexandria. Values from VASP.

Properties
Magnetization: 11.22 μB per formula unit
V: 106.51 Å³ per cell

Quantum ESPRESSO input file:
```
&SYSTEM
  ibrav = 0, nat = 4, ntyp = 3
/
ATOMIC_SPECIES
Pu 244.00 Pu.upf
Th 232.04 Th.upf
Zr 91.22 Zr.upf
ATOMIC_POSITIONS crystal
Pu 0.0000 0.5000 0.0000
Pu 0.5000 0.0000 0.0000
Th 0.0000 0.0000 0.5000
Zr 0.5000 0.5000 0.5000
CELL_PARAMETERS angstrom
4.7140 0.0000 0.0000
0.0000 4.7140 0.0000
0.0000 0.0000 4.7929
```



#R
First-principles (PBE-GGA) data for a relaxed structure of Pu2ThZr, as listed in Alexandria. Values from VASP.

Properties
Magnetization: 1.64 μB per formula unit
V: 100.36 Å³ per cell

Quantum ESPRESSO input file:
```
&SYSTEM
  ibrav = 0, nat = 4, ntyp = 3
/
ATOMIC_SPECIES
Pu 244.00 Pu.upf
Th 232.04 Th.upf
Zr 91.22 Zr.upf
ATOMIC_POSITIONS crystal
Pu 0.1711 0.1711 0.1711
Pu 0.8289 0.8289 0.8289
Th 0.0000 0.0000 0.0000
Zr 0.5000 0.5000 0.5000
CELL_PARAMETERS angstrom
2.3377 1.3496 5.3015
-2.3377 1.3496 5.3015
0.0000 -2.6993 5.3015
```



Stability summary - winner: #Q; margin: 1.4 kJ/mol of atoms.



#P
First-principles (PBE-GGA) data for a relaxed structure of PuTi3, as listed in Alexandria. Values from VASP.

Properties
Magnetization: 5.64 μB per formula unit
V: 73.50 Å³ per cell

Quantum ESPRESSO input file:
```
&SYSTEM
  ibrav = 0, nat = 4, ntyp = 2
/
ATOMIC_SPECIES
Pu 244.00 Pu.upf
Ti 47.87 Ti.upf
ATOMIC_POSITIONS crystal
Pu 0.0000 0.0000 0.0000
Ti 0.0000 0.5000 0.5000
Ti 0.5000 0.0000 0.5000
Ti 0.5000 0.5000 0.0000
CELL_PARAMETERS angstrom
4.1889 0.0000 0.0000
0.0000 4.1889 0.0000
0.0000 0.0000 4.1889
```



#Q
First-principles (PBE-GGA) data for a relaxed structure of PuTi3, as listed in Alexandria. Values from VASP.

Properties
Magnetization: 4.19 μB per formula unit
V: 73.07 Å³ per cell

Quantum ESPRESSO input file:
```
&SYSTEM
  ibrav = 0, nat = 4, ntyp = 2
/
ATOMIC_SPECIES
Pu 244.00 Pu.upf
Ti 47.87 Ti.upf
ATOMIC_POSITIONS crystal
Pu 0.0000 0.0000 0.0000
Ti 0.4879 0.7246 0.7632
Ti 0.4876 0.9876 0.5000
Ti 0.9614 0.7246 0.2368
CELL_PARAMETERS angstrom
-1.4454 4.8258 2.6187
1.4454 -4.8258 2.6187
1.4454 4.8258 -2.6187
```



#R
First-principles (PBE-GGA) data for a relaxed structure of PuTi3, as listed in Alexandria. Values from VASP.

Properties
Magnetization: 5.10 μB per formula unit
V: 73.11 Å³ per cell

Quantum ESPRESSO input file:
```
&SYSTEM
  ibrav = 0, nat = 4, ntyp = 2
/
ATOMIC_SPECIES
Pu 244.00 Pu.upf
Ti 47.87 Ti.upf
ATOMIC_POSITIONS crystal
Pu 0.0000 0.0000 0.0000
Ti 0.2500 0.2500 0.2500
Ti 0.5000 0.5000 0.5000
Ti 0.7500 0.7500 0.7500
CELL_PARAMETERS angstrom
0.0000 3.3189 3.3189
3.3189 0.0000 3.3189
3.3189 3.3189 0.0000
```



#S
First-principles (PBE-GGA) data for a relaxed structure of PuTi3, as listed in Alexandria. Values from VASP.

Properties
Magnetization: 5.12 μB per formula unit
V: 73.42 Å³ per cell

Quantum ESPRESSO input file:
```
&SYSTEM
  ibrav = 0, nat = 4, ntyp = 2
/
ATOMIC_SPECIES
Pu 244.00 Pu.upf
Ti 47.87 Ti.upf
ATOMIC_POSITIONS crystal
Pu 0.0000 0.0000 0.0000
Ti 0.2500 0.7500 0.5000
Ti 0.5000 0.5000 0.0000
Ti 0.7500 0.2500 0.5000
CELL_PARAMETERS angstrom
-2.1130 2.1130 4.1113
2.1130 -2.1130 4.1113
2.1130 2.1130 -4.1113
```



Stability summary - winner: #S; margin: 1.1 kJ/mol of atoms.